[1]
Crystalline Re2PIr at its relaxed geometry, computed with PBE.

Summary:
As for the theoretical density: 17.71 g/cm³. Its total moment is 0.0 μB per cell. For the density of states at the Fermi level, the calculation gives 0.5041 states/eV per atom. Its energy of formation from the pure elements is -0.091 eV/atom.

Unit cell a=2.864 b=2.864 c=6.808 alpha=90.00 beta=90.00 gamma=90.00
Space group P4mm (No. 99)
Inequivalent atoms, fractional coordinates:
Re  0.000  0.000  0.000 x1
Re  0.500  0.500  0.275 x1
P  0.500  0.500  0.796 x1
Ir  0.000  0.000  0.565 x1

---

[2]
Crystalline Re2PIr at its relaxed geometry, computed with PBE.

Summary:
As for the theoretical density: 17.37 g/cm³. Its total moment is 0.0 μB per cell. For the density of states at the Fermi level, the calculation gives 0.6300 states/eV per atom. Its energy of formation from the pure elements is 0.010 eV/atom.

Unit cell a=2.816 b=3.942 c=5.294 alpha=90.00 beta=104.29 gamma=90.00
Space group P2/m (No. 10)
Inequivalent atoms, fractional coordinates:
Re  0.138  0.000  0.269 x2
P  0.500  0.500  0.500 x1
Ir  0.500  0.500  0.000 x1

---

[3]
Crystalline Re2PIr at its relaxed geometry, computed with PBE.

Summary:
As for the theoretical density: 12.17 g/cm³. Its total moment is 0.0 μB per cell. For the density of states at the Fermi level, the calculation gives 0.4811 states/eV per atom. Its energy of formation from the pure elements is 0.678 eV/atom.

Unit cell a=5.518 b=5.518 c=10.671 alpha=90.00 beta=90.00 gamma=90.00
Space group I-42d (No. 122)
Inequivalent atoms, fractional coordinates:
Re  0.237  0.250  0.125 x8
P  0.000  0.000  0.000 x4
Ir  0.000  0.000  0.500 x4

---

[4]
Crystalline ReP2Ir at its relaxed geometry, computed with PBE.

Summary:
As for the theoretical density: 12.90 g/cm³. Its total moment is 0.0 μB per cell. For the density of states at the Fermi level, the calculation gives 0.7412 states/eV per atom. Its energy of formation from the pure elements is 0.226 eV/atom.

Unit cell a=2.940 b=3.724 c=5.180 alpha=90.00 beta=90.00 gamma=90.00
Space group Pmmm (No. 47)
Inequivalent atoms, fractional coordinates:
Re  0.000  0.000  0.000 x1
P  0.500  0.500  0.215 x2
Ir  0.500  0.000  0.500 x1

---

[5]
Crystalline Re4PIr at its relaxed geometry, computed with PBE.

Summary:
As for the theoretical density: 16.56 g/cm³. Its total moment is 0.0 μB per cell. For the density of states at the Fermi level, the calculation gives 0.8912 states/eV per atom. Its energy of formation from the pure elements is 0.884 eV/atom.

Unit cell a=7.296 b=7.296 c=7.296 alpha=90.00 beta=90.00 gamma=90.00
Space group F-43m (No. 216)
Inequivalent atoms, fractional coordinates:
Re  0.125  0.125  0.125 x16
P  0.000  0.000  0.500 x4
Ir  0.250  0.250  0.750 x4

---

[6]
Crystalline Re2PIr at its relaxed geometry, computed with PBE.

Summary:
As for the theoretical density: 17.38 g/cm³. Its total moment is 0.0 μB per cell. For the density of states at the Fermi level, the calculation gives 0.8314 states/eV per atom. Its energy of formation from the pure elements is 0.313 eV/atom.

Unit cell a=3.848 b=3.848 c=7.683 alpha=90.00 beta=90.00 gamma=90.00
Space group I-4m2 (No. 119)
Inequivalent atoms, fractional coordinates:
Re  0.000  0.000  0.000 x2
Re  0.000  0.500  0.250 x2
P  0.000  0.000  0.500 x2
Ir  0.000  0.500  0.750 x2